Below is a relaxed PAuSe3 crystal, with properties calculated at the GGA-PBE level.

Computed properties:
N(E_F): 0.886 states/eV per atom
Energy above the most stable polymorph in this dataset: 0 meV/atom
Mass density: 6.869 g/cm³
Space-group type: Pm-3m (221)
M_tot: 0.0 μB per cell
Uncorrected energy: -3.175 eV per atom

abc: 4.826 4.826 4.826
angles: 90.00 90.00 90.00
Element x y z (fractional)
P: 0.000 0.000 0.000
Au: 0.500 0.500 0.500
Se: 0.000 0.000 0.500
Se: 0.000 0.500 0.000
Se: 0.500 0.000 0.000